1.
12
Lattice="-3.202 5.652 5.663 3.202 -5.652 5.663 3.202 5.652 -5.663" Properties=species:S:1:pos:R:3 comment="NdY3Ho8 (GGA-PBE, relaxed)" dos_at_fermi_per_ev_cell=15.4 final_energy_ev_per_atom=-4.753 vol_a3_per_atom=34.2 spacegroup="Immm, No. 71" formation_energy_ev_per_atom=0.31 pbc="T T T"
Nd 0.000 0.000 0.000
Y 3.202 0.000 2.884
Y 0.000 0.000 5.663
Y 0.000 5.652 2.780
Ho 3.202 3.737 -2.826
Ho 1.584 2.879 0.000
Ho 1.618 -2.774 5.663
Ho 0.000 1.915 2.838
Ho 3.202 3.737 2.826
Ho 1.584 8.426 0.000
Ho 1.618 2.774 5.663
Ho 0.000 1.915 8.489

2.
11
Lattice="-1.783 5.621 9.278 1.783 -5.621 9.278 1.783 5.621 -9.278" Properties=species:S:1:pos:R:3 comment="Nd3Y4Ho4 (GGA-PBE, relaxed)" dos_at_fermi_per_ev_cell=15.5 final_energy_ev_per_atom=-5.142 vol_a3_per_atom=33.8 relative_energy_mev_per_atom=20 spacegroup="Immm, No. 71" formation_energy_ev_per_atom=0.17 pbc="T T T"
Nd 0.000 0.000 0.000
Nd 1.783 0.000 7.282
Nd 0.000 5.621 1.995
Y 1.783 2.682 -3.162
Y 1.783 2.682 3.162
Y 0.000 2.939 6.115
Y 0.000 2.939 12.440
Ho 0.000 0.000 4.166
Ho 1.783 3.280 0.000
Ho 0.000 2.341 9.278
Ho 0.000 0.000 14.389

3.
16
Lattice="7.156 0.000 0.000 0.000 7.156 0.000 0.000 0.000 10.085" Properties=species:S:1:pos:R:3 comment="NdY14Ho (GGA-PBE, relaxed)" dos_at_fermi_per_ev_cell=21.2 final_energy_ev_per_atom=-6.219 vol_a3_per_atom=32.3 spacegroup="P4/mmm, No. 123" formation_energy_ev_per_atom=0.02 pbc="T T T"
Nd 0.000 0.000 0.000
Y 0.000 0.000 5.043
Y 0.000 3.578 0.000
Y 0.000 3.578 5.043
Y 1.794 1.794 2.522
Y 1.794 1.794 7.563
Y 1.794 5.361 2.522
Y 1.794 5.361 7.563
Y 3.578 0.000 0.000
Y 3.578 0.000 5.043
Y 3.578 3.578 5.043
Y 5.361 1.794 2.522
Y 5.361 1.794 7.563
Y 5.361 5.361 2.522
Y 5.361 5.361 7.563
Ho 3.578 3.578 0.000